Record 1
VASP calculation (GGA-PBEsol) on a relaxed structure of BaMg2Ir.

Unit cell a=3.2667 b=3.2667 c=8.6326 alpha=90.00 beta=90.00 gamma=90.00
Closest atoms and distances in Å follow each position.
Fractional coordinates of all 4 atoms:
Ba (0.0000, 0.0000, 0.0000)  4 Ba 3.27
Mg (0.5000, 0.5000, 0.3365)  4 Ir 2.71, 1 Mg 2.82
Mg (0.5000, 0.5000, 0.6635)  4 Ir 2.71, 1 Mg 2.82
Ir (0.0000, 0.0000, 0.5000)  8 Mg 2.71

Results
DFT formation energy   -0.05 eV/atom
Total DFT energy (no corrections)   -15.59 eV per cell
D(E_F)   2.7 states/eV per cell

Record 2
VASP calculation (GGA-PBEsol) on a relaxed structure of Ba3MgIr2O9.

Unit cell a=5.7462 b=5.7462 c=14.1577 alpha=90.00 beta=90.00 gamma=120.00
Closest atoms and distances in Å follow each position.
Fractional coordinates of all 30 atoms:
Ba (0.0000, 0.0000, 0.2500)  12 O 2.87-2.92
Ba (0.0000, 0.0000, 0.7500)  12 O 2.87-2.92
Ba (0.3333, 0.6667, 0.0856)  12 O 2.87-2.91
Ba (0.3333, 0.6667, 0.4144)  12 O 2.87-2.91
Ba (0.6667, 0.3333, 0.5856)  12 O 2.87-2.91
Ba (0.6667, 0.3333, 0.9144)  12 O 2.87-2.91
Mg (0.0000, 0.0000, 0.0000)  6 O 2.07
Mg (0.0000, 0.0000, 0.5000)  6 O 2.07
Ir (0.3333, 0.6667, 0.6596)  6 O 1.94-2.02
Ir (0.3333, 0.6667, 0.8404)  6 O 1.94-2.02
Ir (0.6667, 0.3333, 0.1596)  6 O 1.94-2.02
Ir (0.6667, 0.3333, 0.3404)  6 O 1.94-2.02
O (0.0183, 0.5091, 0.7500)  2 Ir 2.02
O (0.1720, 0.3439, 0.5826)  1 Ir 1.94, 1 Mg 2.07
O (0.1720, 0.3439, 0.9174)  1 Ir 1.94, 1 Mg 2.07
O (0.1720, 0.8280, 0.5826)  1 Ir 1.94, 1 Mg 2.07
O (0.1720, 0.8280, 0.9174)  1 Ir 1.94, 1 Mg 2.07
O (0.3439, 0.1720, 0.0826)  1 Ir 1.94, 1 Mg 2.07
O (0.3439, 0.1720, 0.4174)  1 Ir 1.94, 1 Mg 2.07
O (0.4909, 0.5091, 0.7500)  2 Ir 2.02
O (0.4909, 0.9817, 0.7500)  2 Ir 2.02
O (0.5091, 0.0183, 0.2500)  2 Ir 2.02
O (0.5091, 0.4909, 0.2500)  2 Ir 2.02
O (0.6561, 0.8280, 0.5826)  1 Ir 1.94, 1 Mg 2.07
O (0.6561, 0.8280, 0.9174)  1 Ir 1.94, 1 Mg 2.07
O (0.8280, 0.1720, 0.0826)  1 Ir 1.94, 1 Mg 2.07
O (0.8280, 0.1720, 0.4174)  1 Ir 1.94, 1 Mg 2.07
O (0.8280, 0.6561, 0.0826)  1 Ir 1.94, 1 Mg 2.07
O (0.8280, 0.6561, 0.4174)  1 Ir 1.94, 1 Mg 2.07
O (0.9817, 0.4909, 0.2500)  2 Ir 2.02

Results
Total DFT energy (no corrections)   -208.44 eV per cell
D(E_F)   16.7 states/eV per cell

Record 3
VASP calculation (GGA-PBEsol) on a relaxed structure of Ba3MgIrRuO9.

Unit cell a=5.7453 b=5.7453 c=14.0895 alpha=90.00 beta=90.00 gamma=120.00
Closest atoms and distances in Å follow each position.
Fractional coordinates of all 30 atoms:
Ba (0.0000, 0.0000, 0.2492)  12 O 2.87-2.92
Ba (0.0000, 0.0000, 0.7508)  12 O 2.87-2.92
Ba (0.3333, 0.6667, 0.0858)  12 O 2.87-2.92
Ba (0.3333, 0.6667, 0.4130)  12 O 2.87-2.89
Ba (0.6667, 0.3333, 0.5870)  12 O 2.87-2.89
Ba (0.6667, 0.3333, 0.9142)  12 O 2.87-2.92
Mg (0.0000, 0.0000, 0.0000)  6 O 2.08
Mg (0.0000, 0.0000, 0.5000)  6 O 2.09
Ir (0.3333, 0.6667, 0.8391)  6 O 1.94-2.01
Ir (0.6667, 0.3333, 0.1609)  6 O 1.94-2.01
Ru (0.3333, 0.6667, 0.6580)  6 O 1.91-2.01
Ru (0.6667, 0.3333, 0.3420)  6 O 1.91-2.01
O (0.0201, 0.5101, 0.7485)  1 Ru 2.01, 1 Ir 2.01
O (0.1718, 0.3436, 0.9165)  1 Ir 1.94, 1 Mg 2.08
O (0.1718, 0.8282, 0.9165)  1 Ir 1.94, 1 Mg 2.08
O (0.1730, 0.3461, 0.5837)  1 Ru 1.91, 1 Mg 2.09
O (0.1730, 0.8270, 0.5837)  1 Ru 1.91, 1 Mg 2.09
O (0.3436, 0.1718, 0.0835)  1 Ir 1.94, 1 Mg 2.08
O (0.3461, 0.1730, 0.4163)  1 Ru 1.91, 1 Mg 2.09
O (0.4899, 0.5101, 0.7485)  1 Ru 2.01, 1 Ir 2.01
O (0.4899, 0.9799, 0.7485)  1 Ru 2.01, 1 Ir 2.01
O (0.5101, 0.0201, 0.2515)  1 Ru 2.01, 1 Ir 2.01
O (0.5101, 0.4899, 0.2515)  1 Ru 2.01, 1 Ir 2.01
O (0.6539, 0.8270, 0.5837)  1 Ru 1.91, 1 Mg 2.09
O (0.6564, 0.8282, 0.9165)  1 Ir 1.94, 1 Mg 2.08
O (0.8270, 0.1730, 0.4163)  1 Ru 1.91, 1 Mg 2.09
O (0.8270, 0.6539, 0.4163)  1 Ru 1.91, 1 Mg 2.09
O (0.8282, 0.1718, 0.0835)  1 Ir 1.94, 1 Mg 2.08
O (0.8282, 0.6564, 0.0835)  1 Ir 1.94, 1 Mg 2.08
O (0.9799, 0.4899, 0.2515)  1 Ru 2.01, 1 Ir 2.01

Results
Total DFT energy (no corrections)   -211.32 eV per cell
D(E_F)   11.1 states/eV per cell

Record 4
VASP calculation (GGA-PBEsol) on a relaxed structure of Ba2MnIr.

Unit cell a=8.8880 b=8.8880 c=8.8880 alpha=28.28 beta=28.28 gamma=28.28
Closest atoms and distances in Å follow each position.
Fractional coordinates of all 4 atoms:
Ba (0.2326, 0.2326, 0.2326)  3 Ir 3.02
Ba (0.7674, 0.7674, 0.7674)  3 Ir 3.02
Mn (0.0000, 0.0000, 0.0000)  6 Ba 3.60
Ir (0.5000, 0.5000, 0.5000)  6 Ba 3.02

Results
DFT formation energy   0.77 eV/atom
Total DFT energy (no corrections)   -20.82 eV per cell
D(E_F)   3.8 states/eV per cell
ΔE to the lowest computed polymorph   0.4418 eV/atom

Record 5
VASP calculation (GGA-PBEsol) on a relaxed structure of Ba2MnIr.

Unit cell a=5.3677 b=5.3677 c=5.3677 alpha=119.95 beta=119.95 gamma=90.08
Closest atoms and distances in Å follow each position.
Fractional coordinates of all 4 atoms:
Ba (0.2500, 0.7500, 0.5000)  4 Ir 3.29, 4 Mn 3.29
Ba (0.7500, 0.2500, 0.5000)  4 Ir 3.29, 4 Mn 3.29
Mn (0.0000, 0.0000, 0.0000)  8 Ba 3.29
Ir (0.5000, 0.5000, 0.0000)  8 Ba 3.29

Results
DFT formation energy   0.60 eV/atom
Total DFT energy (no corrections)   -21.47 eV per cell
D(E_F)   3.1 states/eV per cell
ΔE to the lowest computed polymorph   0.2774 eV/atom

Record 6
VASP calculation (GGA-PBEsol) on a relaxed structure of Ba2MnIr.

Unit cell a=3.5443 b=3.5443 c=9.3180 alpha=90.00 beta=90.00 gamma=90.00
Closest atoms and distances in Å follow each position.
Fractional coordinates of all 4 atoms:
Ba (0.0000, 0.0000, 0.0000)  1 Ir 3.00
Ba (0.5000, 0.5000, 0.4231)  1 Mn 2.99
Mn (0.5000, 0.5000, 0.7436)  4 Ir 2.58
Ir (0.0000, 0.0000, 0.6776)  4 Mn 2.58

Results
DFT formation energy   0.32 eV/atom
Total DFT energy (no corrections)   -22.58 eV per cell
D(E_F)   3.8 states/eV per cell
ΔE to the lowest computed polymorph   0.0000 eV/atom

Record 7
VASP calculation (GGA-PBEsol) on a relaxed structure of BaMo2Ir.

Unit cell a=4.8586 b=4.8586 c=6.5354 alpha=102.95 beta=102.95 gamma=36.76
Closest atoms and distances in Å follow each position.
Fractional coordinates of all 4 atoms:
Ba (0.0000, 0.0000, 0.0000)  2 Ba 3.06, 3 Ir 3.26-3.41
Mo (0.5061, 0.5061, 0.5150)  2 Mo 2.44, 2 Ir 2.60
Mo (0.7990, 0.7990, 0.3811)  2 Mo 2.44, 2 Ir 2.59
Ir (0.2339, 0.2339, 0.6663)  4 Mo 2.59-2.60

Results
DFT formation energy   0.65 eV/atom
Total DFT energy (no corrections)   -32.93 eV per cell
D(E_F)   4.1 states/eV per cell
ΔE to the lowest computed polymorph   0.0862 eV/atom

Record 8
VASP calculation (GGA-PBEsol) on a relaxed structure of BaMo2Ir.

Unit cell a=5.7437 b=5.7437 c=5.7437 alpha=149.29 beta=124.81 gamma=64.50
Closest atoms and distances in Å follow each position.
Fractional coordinates of all 4 atoms:
Ba (0.0000, 0.0000, 0.0000)  2 Ba 3.04, 8 Mo 3.07-3.37, 4 Ir 3.18-3.37
Mo (0.5164, 0.5164, 0.0000)  2 Mo 2.44, 2 Ir 2.69
Mo (0.7132, 0.2132, 0.5000)  2 Mo 2.44
Ir (0.2879, 0.7879, 0.5000)  2 Mo 2.69

Results
DFT formation energy   0.95 eV/atom
Total DFT energy (no corrections)   -31.70 eV per cell
D(E_F)   3.3 states/eV per cell
ΔE to the lowest computed polymorph   0.3918 eV/atom

Record 9
VASP calculation (GGA-PBEsol) on a relaxed structure of BaMo2Ir.

Unit cell a=3.3709 b=3.3709 c=7.6599 alpha=90.00 beta=90.00 gamma=90.00
Closest atoms and distances in Å follow each position.
Fractional coordinates of all 4 atoms:
Ba (0.0000, 0.0000, 0.0000)  4 Ba 3.37, 8 Mo 3.58
Mo (0.5000, 0.5000, 0.3493)  1 Mo 2.31
Mo (0.5000, 0.5000, 0.6507)  1 Mo 2.31
Ir (0.0000, 0.0000, 0.5000)  8 Mo 2.65

Results
DFT formation energy   0.62 eV/atom
Total DFT energy (no corrections)   -33.03 eV per cell
D(E_F)   2.9 states/eV per cell
ΔE to the lowest computed polymorph   0.0606 eV/atom

Record 10
VASP calculation (GGA-PBEsol) on a relaxed structure of BaMo2Ir.

Unit cell a=2.8477 b=2.8477 c=9.4796 alpha=90.00 beta=90.00 gamma=90.95
Closest atoms and distances in Å follow each position.
Fractional coordinates of all 4 atoms:
Ba (0.0000, 0.0000, 0.0000)  4 Ba 2.85
Mo (0.5000, 0.5000, 0.3053)  4 Ir 2.72-2.74, 4 Mo 2.85
Mo (0.5000, 0.5000, 0.6947)  4 Ir 2.72-2.74, 4 Mo 2.85
Ir (0.0000, 0.0000, 0.5000)  8 Mo 2.72-2.74, 4 Ir 2.85

Results
DFT formation energy   0.75 eV/atom
Total DFT energy (no corrections)   -32.49 eV per cell
D(E_F)   4.6 states/eV per cell
ΔE to the lowest computed polymorph   0.1942 eV/atom